(1)
# TaCr3H

TaCr3H at its PBEsol-relaxed geometry (meta-GGA SCAN, the Alexandria database).

Properties
Its total magnetization is 0.00 μB per cell. Its electronic total energy is -24.721 eV/atom.

Unit cell a=3.7817 b=3.7817 c=3.7817 alpha=90.00 beta=90.00 gamma=90.00
With the nearest neighbours (Å) after each atom.
Element x y z (fractional)
Ta 0.0000 0.0000 0.0000  12 Cr 2.67
Cr 0.0000 0.5000 0.5000  2 H 1.89
Cr 0.5000 0.0000 0.5000  2 H 1.89
Cr 0.5000 0.5000 0.0000  2 H 1.89
H 0.5000 0.5000 0.5000  6 Cr 1.89

***

(2)
# RhSe2Br

RhSe2Br at its PBEsol-relaxed geometry (meta-GGA SCAN, the Alexandria database).

Properties
The value obtained for the energy relative to the elements, uncorrected is 0.233 eV/atom. Its total magnetization is 0.00 μB per cell. The calculation puts the energy above the lowest structure with this stoichiometry at 610 meV/atom. Its electronic total energy is -23.114 eV/atom.

Unit cell a=6.0575 b=6.0575 c=6.0575 alpha=151.27 beta=133.13 gamma=55.91
With the nearest neighbours (Å) after each atom.
Element x y z (fractional)
Rh 0.0000 0.0000 0.0000  4 Se 2.52
Se 0.1896 0.6896 0.5000  2 Rh 2.52
Se 0.8104 0.3104 0.5000  2 Rh 2.52
Br 0.5000 0.5000 0.0000  4 Rh 2.84, 2 Br 3.01, 4 Se 3.15

***

(3)
# BePCl2F

BePCl2F at its PBEsol-relaxed geometry (meta-GGA SCAN, the Alexandria database).

Properties
The value obtained for the energy relative to the elements, uncorrected is -0.071 eV/atom. Its total magnetization is 0.00 μB per cell. Its electronic total energy is -6.921 eV/atom.

Unit cell a=4.1734 b=4.1734 c=4.5258 alpha=90.00 beta=90.00 gamma=90.00
With the nearest neighbours (Å) after each atom.
Element x y z (fractional)
Be 0.0000 0.0000 0.0000  4 Cl 2.09, 2 P 2.26
P 0.0000 0.0000 0.5000  2 Be 2.26
Cl 0.0000 0.5000 0.0000  2 Be 2.09
Cl 0.5000 0.0000 0.0000  2 Be 2.09
F 0.5000 0.5000 0.5000  4 P 2.95, 8 Cl 3.08